(1)
This record from the Alexandria database describes a geometry-optimized AlTcP2 structure. The functional is GGA-PBE.

Cell: 3.2721 3.7478 4.6432 Å, 90.00 90.00 90.00°
Closest atoms and distances in Å follow each position.
Positions (direct):
Al 0.0000 0.0000 0.0000  4 P 2.49
Tc 0.5000 0.0000 0.5000  4 P 2.49
P 0.0000 0.5000 0.5000  4 Tc 2.49
P 0.5000 0.5000 0.0000  4 Al 2.49

Values from the calculation:
Its energy of formation is 72 kJ/mol of formula units. The value obtained for the total energy is -6.04 eV/atom. Its theoretical density is 5.5 g cm⁻³.

(2)
This record from the Alexandria database describes a geometry-optimized Al2TcP structure. The functional is GGA-PBE.

Cell: 2.9674 2.9674 23.4381 Å, 90.00 90.00 120.00°
Closest atoms and distances in Å follow each position.
Positions (direct):
Al 0.0000 0.0000 0.2500  3 Tc 2.60, 3 P 2.60
Al 0.0000 0.0000 0.7500  3 Tc 2.60, 3 P 2.60
Al 0.3333 0.6667 0.4166  3 Tc 2.60, 3 P 2.60
Al 0.3333 0.6667 0.9167  3 Tc 2.60, 3 P 2.60
Al 0.6667 0.3333 0.0833  3 Tc 2.60, 3 P 2.60
Al 0.6667 0.3333 0.5834  3 Tc 2.60, 3 P 2.60
Tc 0.0000 0.0000 0.0000  6 Al 2.60
Tc 0.3333 0.6667 0.6667  6 Al 2.60
Tc 0.6667 0.3333 0.3333  6 Al 2.60
P 0.0000 0.0000 0.5000  6 Al 2.60
P 0.3333 0.6667 0.1667  6 Al 2.60
P 0.6667 0.3333 0.8333  6 Al 2.60

Values from the calculation:
Its energy of formation is -30 kJ/mol of formula units. The value obtained for the total energy is -5.89 eV/atom. Its theoretical density is 5.1 g cm⁻³.

(3)
This record from the Alexandria database describes a geometry-optimized AlTcP2 structure. The functional is GGA-PBE.

Cell: 6.0497 6.0497 6.0497 Å, 90.00 90.00 90.00°
Closest atoms and distances in Å follow each position.
Positions (direct):
Al 0.0000 0.0000 0.0000  4 P 2.62, 4 Tc 2.62
Al 0.0000 0.5000 0.5000  4 P 2.62, 4 Tc 2.62
Al 0.5000 0.0000 0.5000  4 P 2.62, 4 Tc 2.62
Al 0.5000 0.5000 0.0000  4 P 2.62, 4 Tc 2.62
Tc 0.2500 0.2500 0.2500  4 Al 2.62, 4 P 2.62
Tc 0.2500 0.7500 0.7500  4 Al 2.62, 4 P 2.62
Tc 0.7500 0.2500 0.7500  4 Al 2.62, 4 P 2.62
Tc 0.7500 0.7500 0.2500  4 Al 2.62, 4 P 2.62
P 0.0000 0.0000 0.5000  4 Tc 2.62, 4 P 2.62
P 0.0000 0.5000 0.0000  4 Tc 2.62, 4 P 2.62
P 0.2500 0.2500 0.7500  4 Al 2.62, 4 P 2.62
P 0.2500 0.7500 0.2500  4 Al 2.62, 4 P 2.62
P 0.5000 0.0000 0.0000  4 Tc 2.62, 4 P 2.62
P 0.5000 0.5000 0.5000  4 Tc 2.62, 4 P 2.62
P 0.7500 0.2500 0.2500  4 Al 2.62, 4 P 2.62
P 0.7500 0.7500 0.7500  4 Al 2.62, 4 P 2.62

Values from the calculation:
Its energy of formation is 119 kJ/mol of formula units. The value obtained for the total energy is -5.92 eV/atom. Its theoretical density is 5.6 g cm⁻³.

(4)
This record from the Alexandria database describes a geometry-optimized Al2TcP structure. The functional is GGA-PBE.

Cell: 3.0628 4.9156 8.1846 Å, 90.00 90.00 90.00°
Closest atoms and distances in Å follow each position.
Positions (direct):
Al 0.0000 0.0000 0.0000  2 P 2.57, 2 Al 2.74
Al 0.0000 0.5000 0.2772  2 Tc 2.59, 6 Al 2.74-2.90
Al 0.5000 0.0000 0.2772  2 Tc 2.59, 6 Al 2.74-2.90
Al 0.5000 0.5000 0.0000  2 P 2.57, 2 Al 2.74
Tc 0.0000 0.0000 0.5325  2 P 2.33, 2 Al 2.59
Tc 0.5000 0.5000 0.5325  2 P 2.33, 2 Al 2.59
P 0.0000 0.5000 0.7476  2 Tc 2.33, 2 Al 2.57
P 0.5000 0.0000 0.7476  2 Tc 2.33, 2 Al 2.57

Values from the calculation:
Its energy of formation is 17 kJ/mol of formula units. The value obtained for the total energy is -5.77 eV/atom. Its theoretical density is 4.9 g cm⁻³.

(5)
This record from the Alexandria database describes a geometry-optimized AlTcP2 structure. The functional is GGA-PBE.

Cell: 3.0722 3.0722 21.2561 Å, 90.00 90.00 120.00°
Closest atoms and distances in Å follow each position.
Positions (direct):
Al 0.0000 0.0000 0.0000  3 P 2.59, 3 Tc 2.66
Al 0.3333 0.6667 0.6667  3 P 2.59, 3 Tc 2.66
Al 0.6667 0.3333 0.3333  3 P 2.59, 3 Tc 2.66
Tc 0.0000 0.0000 0.7600  3 P 2.40, 3 Al 2.66
Tc 0.3333 0.6667 0.4267  3 P 2.40, 3 Al 2.66
Tc 0.6667 0.3333 0.0933  3 P 2.40, 3 Al 2.66
P 0.0000 0.0000 0.2447  3 P 2.39, 3 Al 2.59
P 0.0000 0.0000 0.5024  3 P 2.39, 3 Tc 2.40
P 0.3333 0.6667 0.1691  3 P 2.39, 3 Tc 2.40
P 0.3333 0.6667 0.9114  3 P 2.39, 3 Al 2.59
P 0.6667 0.3333 0.5781  3 P 2.39, 3 Al 2.59
P 0.6667 0.3333 0.8357  3 P 2.39, 3 Tc 2.40

Values from the calculation:
Its energy of formation is -29 kJ/mol of formula units. The value obtained for the total energy is -6.31 eV/atom. Its theoretical density is 5.4 g cm⁻³.

(6)
This record from the Alexandria database describes a geometry-optimized Al2TcP structure. The functional is GGA-PBE.

Cell: 3.4267 4.4778 7.7690 Å, 90.00 90.00 90.00°
Closest atoms and distances in Å follow each position.
Positions (direct):
Al 0.0000 0.0000 0.2458  2 Tc 2.57, 2 P 2.61, 4 Al 2.82
Al 0.0000 0.0000 0.7542  2 Tc 2.57, 2 P 2.61, 4 Al 2.82
Al 0.5000 0.5000 0.2458  2 Tc 2.57, 2 P 2.61, 4 Al 2.82
Al 0.5000 0.5000 0.7542  2 Tc 2.57, 2 P 2.61, 4 Al 2.82
Tc 0.0000 0.5000 0.0000  4 Al 2.57, 4 Tc 2.82
Tc 0.5000 0.0000 0.0000  4 Al 2.57, 4 Tc 2.82
P 0.0000 0.5000 0.5000  4 Al 2.61, 4 P 2.82
P 0.5000 0.0000 0.5000  4 Al 2.61, 4 P 2.82

Values from the calculation:
Its energy of formation is 13 kJ/mol of formula units. The value obtained for the total energy is -5.78 eV/atom. Its theoretical density is 5.1 g cm⁻³.

(7)
This record from the Alexandria database describes a geometry-optimized AlTcP2 structure. The functional is GGA-PBE.

Cell: 5.3643 5.3643 11.0882 Å, 90.00 90.00 90.00°
Closest atoms and distances in Å follow each position.
Positions (direct):
Al 0.0000 0.0000 0.0000  4 P 2.41
Al 0.0000 0.5000 0.2500  4 P 2.41
Al 0.5000 0.0000 0.7500  4 P 2.41
Al 0.5000 0.5000 0.5000  4 P 2.41
Tc 0.0000 0.0000 0.5000  4 P 2.29
Tc 0.0000 0.5000 0.7500  4 P 2.29
Tc 0.5000 0.0000 0.2500  4 P 2.29
Tc 0.5000 0.5000 0.0000  4 P 2.29
P 0.2311 0.2500 0.6250  2 Tc 2.29, 2 Al 2.41
P 0.2500 0.7311 0.8750  2 Tc 2.29, 2 Al 2.41
P 0.2500 0.7689 0.3750  2 Tc 2.29, 2 Al 2.41
P 0.2689 0.2500 0.1250  2 Tc 2.29, 2 Al 2.41
P 0.7311 0.7500 0.1250  2 Tc 2.29, 2 Al 2.41
P 0.7500 0.2311 0.3750  2 Tc 2.29, 2 Al 2.41
P 0.7500 0.2689 0.8750  2 Tc 2.29, 2 Al 2.41
P 0.7689 0.7500 0.6250  2 Tc 2.29, 2 Al 2.41

Values from the calculation:
Its energy of formation is -47 kJ/mol of formula units. The value obtained for the total energy is -6.35 eV/atom. Its theoretical density is 3.9 g cm⁻³.

(8)
This record from the Alexandria database describes a geometry-optimized Al2TcP structure. The functional is GGA-PBE.

Cell: 6.9472 6.9472 5.2305 Å, 90.00 90.00 90.00°
Closest atoms and distances in Å follow each position.
Positions (direct):
Al 0.2195 0.7500 0.1250  2 P 2.40, 2 Al 2.65
Al 0.2500 0.2195 0.8750  2 P 2.40, 2 Al 2.65
Al 0.2500 0.2805 0.3750  2 P 2.40, 2 Al 2.65
Al 0.2805 0.7500 0.6250  2 P 2.40, 2 Al 2.65
Al 0.7195 0.2500 0.6250  2 P 2.40, 2 Al 2.65
Al 0.7500 0.7195 0.3750  2 P 2.40, 2 Al 2.65
Al 0.7500 0.7805 0.8750  2 P 2.40, 2 Al 2.65
Al 0.7805 0.2500 0.1250  2 P 2.40, 2 Al 2.65
Tc 0.0000 0.0000 0.5000  2 P 2.62, 4 Al 2.69
Tc 0.0000 0.5000 0.7500  2 P 2.62, 4 Al 2.69
Tc 0.5000 0.0000 0.2500  2 P 2.62, 4 Al 2.69
Tc 0.5000 0.5000 0.0000  2 P 2.62, 4 Al 2.69
P 0.0000 0.0000 0.0000  4 Al 2.40, 2 Tc 2.62
P 0.0000 0.5000 0.2500  4 Al 2.40, 2 Tc 2.62
P 0.5000 0.0000 0.7500  4 Al 2.40, 2 Tc 2.62
P 0.5000 0.5000 0.5000  4 Al 2.40, 2 Tc 2.62

Values from the calculation:
Its energy of formation is 73 kJ/mol of formula units. The value obtained for the total energy is -5.63 eV/atom. Its theoretical density is 4.8 g cm⁻³.

(9)
This record from the Alexandria database describes a geometry-optimized AlTcP2 structure. The functional is GGA-PBE.

Cell: 3.1709 3.1709 20.4818 Å, 90.00 90.00 120.00°
Closest atoms and distances in Å follow each position.
Positions (direct):
Al 0.0000 0.0000 0.0000  6 P 2.54
Al 0.3333 0.6667 0.6667  6 P 2.54
Al 0.6667 0.3333 0.3333  6 P 2.54
Tc 0.0000 0.0000 0.5000  6 P 2.47
Tc 0.3333 0.6667 0.1667  6 P 2.47
Tc 0.6667 0.3333 0.8333  6 P 2.47
P 0.0000 0.0000 0.2474  3 Tc 2.47, 3 Al 2.54
P 0.0000 0.0000 0.7526  3 Tc 2.47, 3 Al 2.54
P 0.3333 0.6667 0.4193  3 Tc 2.47, 3 Al 2.54
P 0.3333 0.6667 0.9141  3 Tc 2.47, 3 Al 2.54
P 0.6667 0.3333 0.0859  3 Tc 2.47, 3 Al 2.54
P 0.6667 0.3333 0.5807  3 Tc 2.47, 3 Al 2.54

Values from the calculation:
Its energy of formation is -69 kJ/mol of formula units. The value obtained for the total energy is -6.41 eV/atom. Its theoretical density is 5.2 g cm⁻³.

(10)
This record from the Alexandria database describes a geometry-optimized Al2TcP structure. The functional is GGA-PBE.

Cell: 3.8640 3.2577 9.5078 Å, 90.00 90.00 90.00°
Closest atoms and distances in Å follow each position.
Positions (direct):
Al 0.0000 0.0000 0.0000  4 P 2.64, 3 Tc 2.64-2.67
Al 0.0000 0.5000 0.5000  4 P 2.64, 3 Tc 2.64-2.67
Al 0.5000 0.0000 0.3222  1 P 2.45, 4 Tc 2.70
Al 0.5000 0.5000 0.8222  1 P 2.45, 4 Tc 2.70
Tc 0.0000 0.0000 0.7224  2 P 2.36, 1 Al 2.64
Tc 0.0000 0.5000 0.2224  2 P 2.36, 1 Al 2.64
P 0.5000 0.0000 0.5795  2 Tc 2.36, 5 Al 2.45-2.64
P 0.5000 0.5000 0.0795  2 Tc 2.36, 5 Al 2.45-2.64

Values from the calculation:
Its energy of formation is -140 kJ/mol of formula units. The value obtained for the total energy is -6.18 eV/atom. Its theoretical density is 5.1 g cm⁻³.

(11)
This record from the Alexandria database describes a geometry-optimized AlTc4P structure. The functional is GGA-PBE.

Cell: 5.1210 5.1210 5.1210 Å, 60.00 60.00 60.00°
Closest atoms and distances in Å follow each position.
Positions (direct):
Al 0.0000 0.0000 0.0000  12 Tc 3.00, 4 P 3.14
Tc 0.1275 0.6242 0.6242  6 Tc 2.54-2.58
Tc 0.6242 0.1275 0.6242  6 Tc 2.54-2.58
Tc 0.6242 0.6242 0.1275  6 Tc 2.54-2.58
Tc 0.6242 0.6242 0.6242  6 Tc 2.54-2.58
P 0.2500 0.2500 0.2500  12 Tc 3.00, 4 Al 3.14

Values from the calculation:
Its energy of formation is 256 kJ/mol of formula units. The value obtained for the total energy is -7.99 eV/atom. Its theoretical density is 7.9 g cm⁻³.

(12)
This record from the Alexandria database describes a geometry-optimized AlTcP2 structure. The functional is GGA-PBE.

Cell: 3.2498 4.0918 4.5503 Å, 90.00 90.00 90.00°
Closest atoms and distances in Å follow each position.
Positions (direct):
Al 0.0000 0.0000 0.0000  4 Tc 2.80, 8 P 2.81
Tc 0.5000 0.0000 0.5000  4 P 2.39
P 0.5000 0.5000 0.2303  1 P 2.10
P 0.5000 0.5000 0.7697  1 P 2.10

Values from the calculation:
Its energy of formation is -65 kJ/mol of formula units. The value obtained for the total energy is -6.40 eV/atom. Its theoretical density is 5.1 g cm⁻³.

(13)
This record from the Alexandria database describes a geometry-optimized Al3TcP structure. The functional is GGA-PBE.

Cell: 4.5272 4.5272 4.5272 Å, 90.00 90.00 90.00°
Closest atoms and distances in Å follow each position.
Positions (direct):
Al 0.0000 0.0000 0.5000  2 P 2.26
Al 0.0000 0.5000 0.0000  2 P 2.26
Al 0.5000 0.0000 0.0000  2 P 2.26
Tc 0.5000 0.5000 0.5000  12 Al 3.20
P 0.0000 0.0000 0.0000  6 Al 2.26

Values from the calculation:
Its energy of formation is 417 kJ/mol of formula units. The value obtained for the total energy is -4.54 eV/atom. Its theoretical density is 3.8 g cm⁻³.

(14)
This record from the Alexandria database describes a geometry-optimized AlTcP2 structure. The functional is GGA-PBE.

Cell: 7.9475 3.1145 4.6518 Å, 90.00 95.58 90.00°
Closest atoms and distances in Å follow each position.
Positions (direct):
Al 0.0000 0.0000 0.0000  2 P 2.34
Al 0.5000 0.5000 0.0000  2 P 2.34
Tc 0.0000 0.5000 0.5000  6 P 2.48-2.52
Tc 0.5000 0.0000 0.5000  6 P 2.48-2.52
P 0.2275 0.0000 0.7165  1 Al 2.34, 3 Tc 2.48-2.52, 2 P 2.60
P 0.2725 0.5000 0.2835  1 Al 2.34, 3 Tc 2.48-2.52, 2 P 2.60
P 0.7275 0.5000 0.7165  1 Al 2.34, 3 Tc 2.48-2.52, 2 P 2.60
P 0.7725 0.0000 0.2835  1 Al 2.34, 3 Tc 2.48-2.52, 2 P 2.60

Values from the calculation:
Its energy of formation is -60 kJ/mol of formula units. The value obtained for the total energy is -6.39 eV/atom. Its theoretical density is 5.4 g cm⁻³.

(15)
This record from the Alexandria database describes a geometry-optimized Al2TcP structure. The functional is GGA-PBE.

Cell: 3.0978 4.4573 8.4787 Å, 90.00 90.00 90.00°
Closest atoms and distances in Å follow each position.
Positions (direct):
Al 0.0000 0.0000 0.0000  2 P 2.59, 4 Tc 2.74, 2 Al 2.79
Al 0.0000 0.5000 0.2264  4 P 2.72, 4 Tc 2.76-2.96, 4 Al 2.79-2.94
Al 0.5000 0.0000 0.7264  4 P 2.72, 4 Tc 2.76-2.96, 4 Al 2.79-2.94
Al 0.5000 0.5000 0.5000  2 P 2.59, 4 Tc 2.74, 2 Al 2.79
Tc 0.0000 0.0000 0.4566  2 P 2.37
Tc 0.5000 0.5000 0.9566  2 P 2.37
P 0.0000 0.5000 0.7448  2 Tc 2.37, 2 Al 2.59
P 0.5000 0.0000 0.2448  2 Tc 2.37, 2 Al 2.59

Values from the calculation:
Its energy of formation is -66 kJ/mol of formula units. The value obtained for the total energy is -5.99 eV/atom. Its theoretical density is 5.2 g cm⁻³.